1.
Below is a relaxed structure of BePdS, with properties calculated at the PBE level.

Computed properties:
**Space-group type**: C2/m (12)
**Raw formation energy**: -446.8 meV per atom
**VASP energy**: -28.77 eV/cell

Lattice parameters (Å, degrees): 3.3209 5.0391 6.1458 115.60 74.31 89.99
Last column: nearest neighbours and their distance in Å.
Element x y z (fractional)
Be1 0.4697 0.4279 0.0048  3 S 2.08-2.20
Be2 0.0713 0.9680 0.8019  3 S 2.08-2.20
S1 0.8826 0.3502 0.1791  3 Be 2.08-2.20
S2 0.6585 0.0461 0.6278  3 Be 2.08-2.20
Pd1 0.9054 0.8322 0.1336  3 Be 2.35-2.47, 3 S 2.50-2.62
Pd2 0.6361 0.5642 0.6733  3 Be 2.35-2.47, 3 S 2.50-2.62

2.
Below is a relaxed structure of BaHg2Pt, with properties calculated at the PBE level.

Computed properties:
**Space-group type**: P4/mmm (123)
**Formation energy**: -0.274 eV per atom
**VASP energy**: -9.66 eV/cell

Lattice parameters (Å, degrees): 4.5286 4.5272 5.4729 90.00 90.00 90.00
Last column: nearest neighbours and their distance in Å.
Element x y z (fractional)
Hg1 0.0000 0.0000 0.0000  4 Hg 3.20, 4 Ba 3.55, 4 Pt 3.55
Hg2 0.5000 0.5000 0.0000  4 Hg 3.20, 4 Pt 3.55, 4 Ba 3.55
Pt1 0.5000 0.0000 0.5000  4 Ba 3.20, 8 Hg 3.55
Ba1 0.0000 0.5000 0.5000  4 Pt 3.20, 8 Hg 3.55

3.
Below is a relaxed structure of Er3ZnNi8, with properties calculated at the PBE level.

Computed properties:
**Space-group type**: R3m (160)
**Formation energy**: -0.446 eV per atom
**VASP energy**: -66.57 eV/cell

Lattice parameters (Å, degrees): 4.9555 4.9555 8.6095 73.27 73.27 60.00
Last column: nearest neighbours and their distance in Å.
Element x y z (fractional)
Er1 0.3773 0.3773 0.8681  12 Ni 2.89-2.96, 4 Er 3.13-3.14
Er2 0.9916 0.9916 0.0251  12 Ni 2.81-3.12, 1 Zn 2.96, 3 Er 3.13
Er3 0.5063 0.5063 0.4812  12 Ni 2.79-2.97, 3 Zn 2.96
Zn1 0.8702 0.8702 0.3893  12 Ni 2.78-2.97, 4 Er 2.96
Ni1 0.9406 0.4357 0.1880  6 Ni 2.45-2.51
Ni2 0.4406 0.9378 0.6838  6 Ni 2.46-2.49
Ni3 0.4357 0.4357 0.1880  6 Ni 2.45-2.51
Ni4 0.9378 0.9378 0.6838  6 Ni 2.46-2.49
Ni5 0.1883 0.1883 0.4350  6 Ni 2.46-2.48
Ni6 0.6881 0.6881 0.9358  6 Ni 2.49-2.51
Ni7 0.4357 0.9406 0.1880  6 Ni 2.45-2.51
Ni8 0.9378 0.4406 0.6838  6 Ni 2.46-2.49

4.
Below is a relaxed structure of PmTlPtPb, with properties calculated at the PBE level.

Computed properties:
**Space-group type**: F-43m (216)
**Formation energy**: -0.426 eV per atom
**VASP energy**: -18.57 eV/cell

Lattice parameters (Å, degrees): 5.1873 5.1873 5.1873 60.00 60.00 60.00
Last column: nearest neighbours and their distance in Å.
Element x y z (fractional)
Pb1 0.5000 0.5000 0.5000  4 Pt 3.18, 4 Tl 3.18
Tl1 0.2500 0.2500 0.2500  4 Pb 3.18, 4 Pm 3.18
Pt1 0.7500 0.7500 0.7500  4 Pm 3.18, 4 Pb 3.18
Pm1 0.0000 0.0000 0.0000  4 Tl 3.18, 4 Pt 3.18